# LiFeF4 PBE with a Hubbard U optimized geometry
# * calculated density: 3.54 g/cm³
# * DOS at the Fermi energy: 0.000 states/eV/atom
# * E: -123.28 eV/cell
data_LiFeF4
_chemical_formula_sum 'Li4 Fe4 F16'
_cell_length_a 4.551
_cell_length_b 4.882
_cell_length_c 11.705
_cell_angle_alpha 90.00
_cell_angle_beta 90.00
_cell_angle_gamma 90.00
_symmetry_space_group_name_H-M 'P 1'
_symmetry_Int_Tables_number 1
loop_
_symmetry_equiv_pos_as_xyz
'x,y,z'
loop_
_atom_site_label
_atom_site_type_symbol
_atom_site_fract_x
_atom_site_fract_y
_atom_site_fract_z
Li1 Li 0.000 0.250 0.056
Li2 Li 0.000 0.750 0.944
Li3 Li 0.500 0.250 0.556
Li4 Li 0.500 0.750 0.444
Fe1 Fe 0.000 0.250 0.324
Fe2 Fe 0.000 0.750 0.676
Fe3 Fe 0.500 0.250 0.824
Fe4 Fe 0.500 0.750 0.176
F1 F 0.231 0.425 0.194
F2 F 0.231 0.925 0.806
F3 F 0.251 0.915 0.067
F4 F 0.251 0.415 0.933
F5 F 0.249 0.915 0.567
F6 F 0.249 0.415 0.433
F7 F 0.269 0.925 0.306
F8 F 0.269 0.425 0.694
F9 F 0.731 0.075 0.694
F10 F 0.731 0.575 0.306
F11 F 0.751 0.085 0.433
F12 F 0.751 0.585 0.567
F13 F 0.749 0.585 0.067
F14 F 0.749 0.085 0.933
F15 F 0.769 0.075 0.194
F16 F 0.769 0.575 0.806